# ScFe2Ag, optimized geometry, DFT GGA-PBE
# Energy of formation from the pure elements = 153 meV/atom
data_ScFe2Ag
_symmetry_space_group_name_H-M 'P 1'
_symmetry_Int_Tables_number 1
_cell_length_a 4.4508
_cell_length_b 4.4508
_cell_length_c 4.4508
_cell_angle_alpha 60.00
_cell_angle_beta 60.00
_cell_angle_gamma 60.00
loop_
_symmetry_equiv_pos_as_xyz
'x,y,z'
loop_
_atom_site_label
_atom_site_type_symbol
_atom_site_fract_x
_atom_site_fract_y
_atom_site_fract_z
_atom_site_occupancy
Sc1 Sc 0.0000 0.0000 0.0000 1
Fe1 Fe 0.2500 0.2500 0.2500 1
Fe2 Fe 0.5000 0.5000 0.5000 1
Ag1 Ag 0.7500 0.7500 0.7500 1

---

# ReSeI2O, optimized geometry, DFT GGA-PBE
# ΔE to the lowest computed polymorph = 1.0155 eV per atom
# Energy relative to the elements, uncorrected = 5.7 eV/f.u.
data_ReSeI2O
_symmetry_space_group_name_H-M 'P 1'
_symmetry_Int_Tables_number 1
_cell_length_a 5.8992
_cell_length_b 5.8992
_cell_length_c 3.7897
_cell_angle_alpha 90.00
_cell_angle_beta 90.00
_cell_angle_gamma 90.00
loop_
_symmetry_equiv_pos_as_xyz
'x,y,z'
loop_
_atom_site_label
_atom_site_type_symbol
_atom_site_fract_x
_atom_site_fract_y
_atom_site_fract_z
_atom_site_occupancy
Re1 Re 0.0000 0.0000 0.0000 1
Se1 Se 0.5000 0.5000 0.5000 1
I1 I 0.0000 0.5000 0.5000 1
I2 I 0.5000 0.0000 0.5000 1
O1 O 0.5000 0.5000 0.0000 1

---

# Ac6PdPt2Cl3, optimized geometry, DFT GGA-PBE
# Energy relative to the elements, uncorrected = -16.2 eV/f.u.
data_Ac6PdPt2Cl3
_symmetry_space_group_name_H-M 'P 1'
_symmetry_Int_Tables_number 1
_cell_length_a 10.3963
_cell_length_b 10.3963
_cell_length_c 9.4204
_cell_angle_alpha 107.56
_cell_angle_beta 107.56
_cell_angle_gamma 24.71
loop_
_symmetry_equiv_pos_as_xyz
'x,y,z'
loop_
_atom_site_label
_atom_site_type_symbol
_atom_site_fract_x
_atom_site_fract_y
_atom_site_fract_z
_atom_site_occupancy
Ac1 Ac 0.0109 0.0109 0.2279 1
Ac2 Ac 0.3232 0.3232 0.4426 1
Ac3 Ac 0.3425 0.3425 0.8912 1
Ac4 Ac 0.6575 0.6575 0.1088 1
Ac5 Ac 0.6768 0.6768 0.5574 1
Ac6 Ac 0.9891 0.9891 0.7721 1
Pd1 Pd 0.5000 0.5000 0.0000 1
Pt1 Pt 0.1665 0.1665 0.3317 1
Pt2 Pt 0.8335 0.8335 0.6683 1
Cl1 Cl 0.1637 0.1637 0.8277 1
Cl2 Cl 0.5000 0.5000 0.5000 1
Cl3 Cl 0.8363 0.8363 0.1723 1